# CeZnAg2 | the Alexandria database | GGA-PBE | optimized geometry
# E_tot, eV per atom: -3.294
# Calculated formation energy, meV/atom: -67
# Total magnetic moment, μB/cell: 0.87
data_CeZnAg2
_chemical_formula_sum 'Ce1 Zn1 Ag2'
_symmetry_space_group_name_H-M 'P 4/m m m'
_symmetry_Int_Tables_number 123
_symmetry_space_group_name_Hall '-P 4 2'
_cell_length_a 3.236
_cell_length_b 3.236
_cell_length_c 7.653
_cell_angle_alpha 90.00
_cell_angle_beta 90.00
_cell_angle_gamma 90.00
loop_
_atom_site_label
_atom_site_fract_x
_atom_site_fract_y
_atom_site_fract_z
_atom_site_occupancy
Ce1 0.000 0.000 0.000 1
Zn1 0.000 0.000 0.500 1
Ag1 0.500 0.500 0.300 1

***

# AlGe2Au8 | the Alexandria database | GGA-PBE | optimized geometry
# E_tot, eV per atom: -3.592
# Calculated formation energy, meV/atom: -29
# Total magnetic moment, μB/cell: 0.00
data_AlGe2Au8
_chemical_formula_sum 'Al2 Ge4 Au16'
_symmetry_space_group_name_H-M 'I m m m'
_symmetry_Int_Tables_number 71
_symmetry_space_group_name_Hall '-I 2 2'
_cell_length_a 3.857
_cell_length_b 8.220
_cell_length_c 12.993
_cell_angle_alpha 90.00
_cell_angle_beta 90.00
_cell_angle_gamma 90.00
loop_
_atom_site_label
_atom_site_fract_x
_atom_site_fract_y
_atom_site_fract_z
_atom_site_occupancy
Al1 0.000 0.000 0.000 1
Ge1 0.000 0.000 0.373 1
Au1 0.000 0.264 0.500 1
Au2 0.000 0.280 0.167 1
Au3 0.000 0.500 0.340 1